1.
A relaxed structure of Li4Ce3AgS8. Source: Alexandria via LeMat-Bulk, functional PBE.

```
data_Li4Ce3AgS8
_cell_length_a 7.9238
_cell_length_b 7.6662
_cell_length_c 7.9264
_cell_angle_alpha 121.12
_cell_angle_beta 119.99
_cell_angle_gamma 90.00
_space_group_name_H-M_alt 'P 1'
_space_group_IT_number 1
_space_group_name_Hall 'P 1'
loop_
_atom_site_label
_atom_site_fract_x
_atom_site_fract_y
_atom_site_fract_z
S1 0.7442 0.2463 0.4885
S2 0.7423 0.7532 0.9976
S3 0.2577 0.2468 0.0024
S4 0.7448 0.2468 0.0024
S5 0.2552 0.7532 0.9976
S6 0.7532 0.7601 0.5065
S7 0.2558 0.7537 0.5115
S8 0.2468 0.2399 0.4935
Ce1 0.5000 0.5000 0.5000
Ce2 0.5000 0.5000 0.0000
Ce3 0.0000 0.5000 0.5000
Li1 0.5000 0.0000 0.0000
Li2 0.0000 0.0000 0.0000
Li3 0.5000 0.0000 0.5000
Li4 0.0000 0.0000 0.5000
Ag1 0.0000 0.5000 0.0000
```

Values from the calculation:
Symmetry: R-3m
E: -5.30 eV/atom
D(E_F): 11.07 states/eV/cell

2.
A relaxed structure of Li3Ce3AgS8. Source: Alexandria via LeMat-Bulk, functional PBE.

```
data_Li3Ce3AgS8
_cell_length_a 7.9206
_cell_length_b 7.9148
_cell_length_c 7.6081
_cell_angle_alpha 121.37
_cell_angle_beta 90.00
_cell_angle_gamma 120.02
_space_group_name_H-M_alt 'P 1'
_space_group_IT_number 1
_space_group_name_Hall 'P 1'
loop_
_atom_site_label
_atom_site_fract_x
_atom_site_fract_y
_atom_site_fract_z
S1 0.7540 0.5080 0.7614
S2 0.7449 0.9963 0.7472
S3 0.2514 0.9963 0.7472
S4 0.7495 0.4990 0.2536
S5 0.2505 0.5010 0.7464
S6 0.2551 0.0037 0.2528
S7 0.2460 0.4920 0.2386
S8 0.7486 0.0037 0.2528
Ce1 0.0000 0.5000 0.5000
Ce2 0.5000 0.0000 0.5000
Ce3 0.5000 0.5000 0.5000
Ag1 0.0000 0.0000 0.5000
Li1 0.5000 0.5000 0.0000
Li2 0.0000 0.5000 0.0000
Li3 0.0000 0.0000 0.0000
```

Values from the calculation:
Symmetry: R-3m
E: -5.35 eV/atom
D(E_F): 8.55 states/eV/cell

3.
A relaxed structure of LiCeAgSb. Source: Alexandria via LeMat-Bulk, functional PBE.

```
data_LiCeAgSb
_cell_length_a 5.1412
_cell_length_b 5.1412
_cell_length_c 5.1412
_cell_angle_alpha 60.00
_cell_angle_beta 60.00
_cell_angle_gamma 60.00
_space_group_name_H-M_alt 'P 1'
_space_group_IT_number 1
_space_group_name_Hall 'P 1'
loop_
_atom_site_label
_atom_site_fract_x
_atom_site_fract_y
_atom_site_fract_z
Li1 0.2500 0.2500 0.2500
Ce1 0.7500 0.7500 0.7500
Ag1 0.0000 0.0000 0.0000
Sb1 0.5000 0.5000 0.5000
```

Values from the calculation:
Symmetry: F-43m
E: -4.18 eV/atom
D(E_F): 7.56 states/eV/cell

4.
A relaxed structure of LiCe2AgSe5. Source: Alexandria via LeMat-Bulk, functional PBE.

```
data_LiCe2AgSe5
_cell_length_a 4.1738
_cell_length_b 8.8651
_cell_length_c 11.3082
_cell_angle_alpha 90.00
_cell_angle_beta 90.00
_cell_angle_gamma 103.62
_space_group_name_H-M_alt 'P 1'
_space_group_IT_number 1
_space_group_name_Hall 'P 1'
loop_
_atom_site_label
_atom_site_fract_x
_atom_site_fract_y
_atom_site_fract_z
Se1 0.7058 0.4115 0.8323
Se2 0.2942 0.5885 0.3323
Se3 0.5138 0.0276 0.7925
Se4 0.6408 0.2816 0.4977
Se5 0.6969 0.3938 0.1655
Se6 0.3592 0.7184 0.9977
Se7 0.4862 0.9724 0.2925
Se8 0.9731 0.9462 0.5661
Se9 0.3031 0.6062 0.6655
Se10 0.0269 0.0538 0.0661
Ag1 0.7996 0.5992 0.4957
Ag2 0.2004 0.4008 0.9957
Ce1 0.8788 0.7577 0.1862
Ce2 0.1212 0.2423 0.6862
Ce3 0.8900 0.7799 0.7960
Ce4 0.1100 0.2201 0.2960
Li1 0.5859 0.1718 0.9920
Li2 0.4141 0.8282 0.4920
```

Values from the calculation:
Symmetry: Cmc2_1
E: -5.03 eV/atom
D(E_F): 8.90 states/eV/cell

5.
A relaxed structure of LiCe2AgSe4. Source: Alexandria via LeMat-Bulk, functional PBE.

```
data_LiCe2AgSe4
_cell_length_a 4.2778
_cell_length_b 6.8577
_cell_length_c 7.4053
_cell_angle_alpha 68.71
_cell_angle_beta 90.00
_cell_angle_gamma 90.00
_space_group_name_H-M_alt 'P 1'
_space_group_IT_number 1
_space_group_name_Hall 'P 1'
loop_
_atom_site_label
_atom_site_fract_x
_atom_site_fract_y
_atom_site_fract_z
Se1 0.5000 0.7433 0.2570
Se2 0.5000 0.2567 0.7430
Se3 0.0000 0.7425 0.7489
Se4 0.0000 0.2575 0.2511
Ce1 0.0000 0.0000 0.0000
Ce2 0.5000 0.0000 0.5000
Li1 0.0000 0.5000 0.5000
Ag1 0.5000 0.5000 0.0000
```

Values from the calculation:
Symmetry: P2/m
E: -5.17 eV/atom
D(E_F): 13.27 states/eV/cell

6.
A relaxed structure of Li3Ce3AgSe8. Source: Alexandria via LeMat-Bulk, functional PBE.

```
data_Li3Ce3AgSe8
_cell_length_a 8.2135
_cell_length_b 8.2088
_cell_length_c 7.9707
_cell_angle_alpha 121.01
_cell_angle_beta 90.00
_cell_angle_gamma 120.02
_space_group_name_H-M_alt 'P 1'
_space_group_IT_number 1
_space_group_name_Hall 'P 1'
loop_
_atom_site_label
_atom_site_fract_x
_atom_site_fract_y
_atom_site_fract_z
Ag1 0.0000 0.0000 0.5000
Se1 0.7487 0.9992 0.2481
Se2 0.7495 0.0008 0.7519
Se3 0.2453 0.4906 0.2361
Se4 0.2513 0.0008 0.7519
Se5 0.2505 0.9992 0.2481
Se6 0.7497 0.4993 0.2488
Se7 0.7547 0.5094 0.7639
Se8 0.2503 0.5007 0.7512
Ce1 0.5000 0.0000 0.5000
Ce2 0.0000 0.5000 0.5000
Ce3 0.5000 0.5000 0.5000
Li1 0.0000 0.5000 0.0000
Li2 0.0000 0.0000 0.0000
Li3 0.5000 0.5000 0.0000
```

Values from the calculation:
Symmetry: R-3m
E: -4.91 eV/atom
D(E_F): 12.16 states/eV/cell

7.
A relaxed structure of LiCeAgSe3. Source: Alexandria via LeMat-Bulk, functional PBE.

```
data_LiCeAgSe3
_cell_length_a 4.0005
_cell_length_b 7.4912
_cell_length_c 9.3432
_cell_angle_alpha 108.82
_cell_angle_beta 90.00
_cell_angle_gamma 90.00
_space_group_name_H-M_alt 'P 1'
_space_group_IT_number 1
_space_group_name_Hall 'P 1'
loop_
_atom_site_label
_atom_site_fract_x
_atom_site_fract_y
_atom_site_fract_z
Li1 0.2500 0.6794 0.1315
Li2 0.7500 0.3206 0.8685
Ag1 0.2500 0.1237 0.6000
Ag2 0.7500 0.8763 0.4000
Se1 0.2500 0.0645 0.8667
Se2 0.7500 0.9355 0.1333
Se3 0.7500 0.3020 0.5025
Se4 0.2500 0.6980 0.4975
Se5 0.7500 0.4473 0.1598
Se6 0.2500 0.5527 0.8402
Ce1 0.7500 0.7641 0.7492
Ce2 0.2500 0.2359 0.2508
```

Values from the calculation:
Symmetry: P2_1/m
E: -4.65 eV/atom
D(E_F): 4.66 states/eV/cell

8.
A relaxed structure of LiCeAg2Se4. Source: Alexandria via LeMat-Bulk, functional PBE.

```
data_LiCeAg2Se4
_cell_length_a 5.7100
_cell_length_b 5.7100
_cell_length_c 6.8656
_cell_angle_alpha 114.59
_cell_angle_beta 114.59
_cell_angle_gamma 89.96
_space_group_name_H-M_alt 'P 1'
_space_group_IT_number 1
_space_group_name_Hall 'P 1'
loop_
_atom_site_label
_atom_site_fract_x
_atom_site_fract_y
_atom_site_fract_z
Li1 0.4384 0.4384 0.0000
Ce1 0.9380 0.9380 0.0000
Ag1 0.6862 0.1862 0.5000
Ag2 0.1862 0.6862 0.5000
Se1 0.4378 0.9377 0.0000
Se2 0.9377 0.4378 0.0000
Se3 0.6802 0.6802 0.4873
Se4 0.1929 0.1929 0.5127
```

Values from the calculation:
Symmetry: Fmm2
E: -4.30 eV/atom
D(E_F): 3.99 states/eV/cell

9.
A relaxed structure of Li3Ce2AgSe6. Source: Alexandria via LeMat-Bulk, functional PBE.

```
data_Li3Ce2AgSe6
_cell_length_a 7.0567
_cell_length_b 7.0567
_cell_length_c 6.8882
_cell_angle_alpha 100.01
_cell_angle_beta 100.01
_cell_angle_gamma 119.77
_space_group_name_H-M_alt 'P 1'
_space_group_IT_number 1
_space_group_name_Hall 'P 1'
loop_
_atom_site_label
_atom_site_fract_x
_atom_site_fract_y
_atom_site_fract_z
Ce1 0.6669 0.3331 0.0000
Ce2 0.3331 0.6669 0.0000
Li1 0.5000 0.5000 0.5000
Li2 0.8372 0.1628 0.5000
Li3 0.1628 0.8372 0.5000
Ag1 0.0000 0.0000 0.0000
Se1 0.5733 0.9137 0.7439
Se2 0.0863 0.4267 0.2561
Se3 0.2558 0.2558 0.7389
Se4 0.9137 0.5733 0.7439
Se5 0.4267 0.0863 0.2561
Se6 0.7442 0.7442 0.2611
```

Values from the calculation:
Symmetry: C2/m
E: -4.73 eV/atom

10.
A relaxed structure of LiCeSiAg. Source: Alexandria via LeMat-Bulk, functional PBE.

```
data_LiCeSiAg
_cell_length_a 4.8896
_cell_length_b 4.8896
_cell_length_c 4.8896
_cell_angle_alpha 60.00
_cell_angle_beta 60.00
_cell_angle_gamma 60.00
_space_group_name_H-M_alt 'P 1'
_space_group_IT_number 1
_space_group_name_Hall 'P 1'
loop_
_atom_site_label
_atom_site_fract_x
_atom_site_fract_y
_atom_site_fract_z
Si1 0.7500 0.7500 0.7500
Ce1 0.0000 0.0000 0.0000
Li1 0.5000 0.5000 0.5000
Ag1 0.2500 0.2500 0.2500
```

Values from the calculation:
Symmetry: F-43m
E: -4.29 eV/atom
D(E_F): 4.63 states/eV/cell

11.
A relaxed structure of LiCeSmAg. Source: Alexandria via LeMat-Bulk, functional PBE.

```
data_LiCeSmAg
_cell_length_a 5.2717
_cell_length_b 5.2717
_cell_length_c 5.2717
_cell_angle_alpha 60.00
_cell_angle_beta 60.00
_cell_angle_gamma 60.00
_space_group_name_H-M_alt 'P 1'
_space_group_IT_number 1
_space_group_name_Hall 'P 1'
loop_
_atom_site_label
_atom_site_fract_x
_atom_site_fract_y
_atom_site_fract_z
Li1 0.7500 0.7500 0.7500
Ag1 0.2500 0.2500 0.2500
Ce1 0.0000 0.0000 0.0000
Sm1 0.5000 0.5000 0.5000
```

Values from the calculation:
Symmetry: F-43m
E: -3.80 eV/atom
D(E_F): 10.09 states/eV/cell
ΔH_f (0 K): 0.0505 eV/atom

12.
A relaxed structure of LiCeAgSn. Source: Alexandria via LeMat-Bulk, functional PBE.

```
data_LiCeAgSn
_cell_length_a 5.1156
_cell_length_b 5.1156
_cell_length_c 5.1156
_cell_angle_alpha 60.00
_cell_angle_beta 60.00
_cell_angle_gamma 60.00
_space_group_name_H-M_alt 'P 1'
_space_group_IT_number 1
_space_group_name_Hall 'P 1'
loop_
_atom_site_label
_atom_site_fract_x
_atom_site_fract_y
_atom_site_fract_z
Ce1 0.0000 0.0000 0.0000
Li1 0.5000 0.5000 0.5000
Sn1 0.2500 0.2500 0.2500
Ag1 0.7500 0.7500 0.7500
```

Values from the calculation:
Symmetry: F-43m
E: -4.02 eV/atom
D(E_F): 5.89 states/eV/cell
ΔH_f (0 K): -0.3494 eV/atom
Energy above the lowest structure with this stoichiometry: 0.000 eV per formula unit

13.
A relaxed structure of LiCeAgSn. Source: Alexandria via LeMat-Bulk, functional PBE.

```
data_LiCeAgSn
_cell_length_a 4.9843
_cell_length_b 4.9848
_cell_length_c 4.9872
_cell_angle_alpha 119.95
_cell_angle_beta 119.94
_cell_angle_gamma 90.08
_space_group_name_H-M_alt 'P 1'
_space_group_IT_number 1
_space_group_name_Hall 'P 1'
loop_
_atom_site_label
_atom_site_fract_x
_atom_site_fract_y
_atom_site_fract_z
Ag1 0.7501 0.2500 0.5000
Li1 0.2500 0.7500 0.4999
Ce1 0.0000 0.0000 0.0001
Sn1 0.5000 0.5000 0.0000
```

Values from the calculation:
Symmetry: I-4m2
E: -4.02 eV/atom
D(E_F): 7.66 states/eV/cell
ΔH_f (0 K): -0.3431 eV/atom
Energy above the lowest structure with this stoichiometry: 0.025 eV per formula unit